--- i ---
PtF: optimized geometry, PBE.

The structure in POSCAR format:
```
PtF
1.0
3.5907 0.0000 0.0000
0.0000 6.8650 0.0000
0.0000 0.0000 9.7456
Pt F
8 8
direct
0.0018 0.1052 0.2678
0.2011 0.6294 0.9776
0.2989 0.3706 0.4776
0.4982 0.8948 0.7678
0.5018 0.3948 0.7322
0.7011 0.8706 0.0223
0.7989 0.1294 0.5224
0.9982 0.6052 0.2322
0.2120 0.0717 0.0608
0.2379 0.1515 0.8008
0.2621 0.8485 0.3008
0.2880 0.9283 0.5608
0.7120 0.4283 0.9392
0.7379 0.3485 0.1992
0.7621 0.6515 0.6992
0.7880 0.5717 0.4392
```

Values from the calculation:
- calculated density (kg/m3) = 11838
- density of states at the Fermi level (states/eV/f.u.) = 0.14
- crystal system = orthorhombic

***

--- ii ---
PtF: optimized geometry, PBE.

The structure in POSCAR format:
```
PtF
1.0
0.0000 2.6419 2.6419
2.6419 0.0000 2.6419
2.6419 2.6419 0.0000
Pt F
1 1
direct
0.0000 0.0000 0.0000
0.2500 0.2500 0.2500
```

Values from the calculation:
- calculated density (kg/m3) = 9639
- density of states at the Fermi level (states/eV/f.u.) = 2.62
- crystal system = cubic

***

Stability ranking, top and bottom: i is the most stable and ii is the least stable.

***

--- i ---
PtF: optimized geometry, PBE.

The structure in POSCAR format:
```
PtF
1.0
9.0846 0.0000 0.0000
-4.5423 7.8675 0.0000
0.0000 0.0000 2.6684
Pt F
6 6
direct
0.1614 0.6467 0.2500
0.3533 0.5147 0.2500
0.4853 0.8386 0.2500
0.5147 0.1614 0.7500
0.6467 0.4853 0.7500
0.8386 0.3533 0.7500
0.0122 0.7396 0.2500
0.2604 0.2726 0.2500
0.2726 0.0122 0.7500
0.7274 0.9878 0.2500
0.7396 0.7274 0.7500
0.9878 0.2604 0.7500
```

Values from the calculation:
- calculated density (kg/m3) = 11184
- density of states at the Fermi level (states/eV/f.u.) = 1.88
- crystal system = hexagonal

***

--- ii ---
PtF: optimized geometry, PBE.

The structure in POSCAR format:
```
PtF
1.0
-4.0588 4.0588 4.0588
4.0588 -4.0588 4.0588
4.0588 4.0588 -4.0588
Pt F
4 4
direct
0.0000 0.0000 0.2165
0.0000 0.2165 0.0000
0.2165 0.0000 0.0000
0.7835 0.7835 0.7835
0.0000 0.0000 0.4906
0.0000 0.4906 0.0000
0.4906 0.0000 0.0000
0.5094 0.5094 0.5094
```

Values from the calculation:
- calculated density (kg/m3) = 5316
- density of states at the Fermi level (states/eV/f.u.) = 0.15
- crystal system = cubic

***

Stability ranking, top and bottom: i is the most stable and ii is the least stable.